[1]
Material: Sr2MgZn4Pd3
Method: DFT, PBE
State: optimized geometry

Cell and atoms, written as extended XYZ:
```
10
Lattice="4.346 0.000 0.000 0.000 4.346 0.000 0.000 0.000 11.141" Properties=species:S:1:pos:R:3 pbc="T T T"
Sr 0.000 2.173 2.633
Sr 2.173 0.000 8.508
Mg 0.000 0.000 5.571
Zn 0.000 0.000 0.000
Zn 0.000 2.173 7.154
Zn 2.173 0.000 3.988
Zn 2.173 2.173 0.000
Pd 0.000 2.173 9.717
Pd 2.173 0.000 1.425
Pd 2.173 2.173 5.571
```

Computed properties:
Calculated total energy   -30.4 eV per cell
Calculated volume   21.0 A^3/atom
ΔE_f   -46 kJ/mol of atoms

[2]
Material: Na2ScCuCl6
Method: DFT, PBE
State: optimized geometry

Cell and atoms, written as extended XYZ:
```
10
Lattice="0.000 4.975 4.975 4.975 0.000 4.975 4.975 4.975 0.000" Properties=species:S:1:pos:R:3 pbc="T T T"
Na 2.488 2.488 2.488
Na 7.463 7.463 7.463
Sc 0.000 0.000 0.000
Cu 4.975 4.975 4.975
Cl 4.975 4.975 2.485
Cl 4.975 2.485 4.975
Cl 7.466 4.975 4.975
Cl 2.485 4.975 4.975
Cl 4.975 7.466 4.975
Cl 4.975 4.975 7.466
```

Computed properties:
Calculated total energy   -39.3 eV per cell
Calculated volume   24.6 A^3/atom

[3]
Material: CsSe2
Method: DFT, PBE
State: optimized geometry

Cell and atoms, written as extended XYZ:
```
6
Lattice="4.724 0.000 0.000 0.000 10.327 0.000 -0.006 0.000 4.695" Properties=species:S:1:pos:R:3 pbc="T T T"
Cs 0.000 0.000 0.000
Cs 2.362 5.164 0.000
Se -0.003 3.022 2.348
Se -0.003 7.305 2.348
Se 2.359 2.141 2.348
Se 2.359 8.186 2.348
```

Computed properties:
Calculated total energy   -19.8 eV per cell
Calculated volume   38.2 A^3/atom